Entry 1:
Entry from Alexandria via LeMat-Bulk: an optimized crystal structure of Li4HoPu3S8 (GGA-PBE).

Cell: 7.897 7.628 7.898 Å, 121.17 120.00 90.00°
Each line ends with the local moment (μB).
Sites, in units of the cell vectors:
1 Li 0.500 0.000 0.500  0.00
2 Pu 0.000 0.500 0.500  5.03
3 S 0.749 0.748 0.499  -0.11
4 S 0.249 0.751 0.498  -0.07
5 S 0.249 0.751 0.002  -0.07
6 S 0.247 0.249 0.998  -0.07
7 S 0.751 0.249 0.502  -0.07
8 Li 0.000 0.000 0.000  0.00
9 Li 0.500 0.000 0.000  0.00
10 S 0.251 0.252 0.501  -0.11
11 S 0.753 0.751 0.002  -0.07
12 Pu 0.500 0.500 0.500  5.03
13 S 0.751 0.249 0.998  -0.07
14 Ho 0.000 0.500 0.000  0.07
15 Pu 0.500 0.500 0.000  5.03
16 Li 0.000 0.000 0.500  0.00

Summary:
The value obtained for the magnetization is 15.0 μB/f.u. The total energy comes out at -7.14 eV per atom. Its formation energy from raw total energies is -1.62 eV per atom. As for the volume: 330 Å³/f.u.


Entry 2:
Entry from Alexandria via LeMat-Bulk: an optimized crystal structure of La2ScAs (GGA-PBE).

Cell: 8.942 8.942 6.976 Å, 50.14 50.14 90.00°
Sites, in units of the cell vectors:
1 La 0.375 0.324 0.750
2 Sc 0.500 0.500 0.000
3 La 0.875 0.926 0.750
4 As 0.750 0.250 0.500
5 La 0.676 0.125 0.250
6 Sc 0.250 0.750 0.500
7 As 0.000 0.000 0.000
8 La 0.074 0.625 0.250

Summary:
The value obtained for the magnetization is 0.0 μB/f.u. The total energy comes out at -5.59 eV per atom. The value obtained for the formation energy is -0.381 eV/atom. As for the volume: 118 Å³/f.u.


Entry 3:
Entry from Alexandria via LeMat-Bulk: an optimized crystal structure of BeAgRuS2 (GGA-PBE).

Cell: 4.679 5.064 4.679 Å, 90.00 90.00 90.00°
Each line ends with the local moment (μB).
Sites, in units of the cell vectors:
1 Ru 0.000 0.500 0.000  2.06
2 S 0.500 0.000 0.000  0.07
3 S 0.000 0.000 0.500  0.07
4 Be 0.500 0.500 0.500  -0.10
5 Ag 0.000 0.000 0.000  0.03

Summary:
The value obtained for the magnetization is 2.2 μB/f.u. The total energy comes out at -3.16 eV per atom. Its formation energy from raw total energies is 1.66 eV per atom. As for the volume: 111 Å³/f.u.


> What is the volume in the second record?

118 Å³/f.u.